w | DFT (PBE) results for Fe3NiIr after structural relaxation.

Calculated values
Space group: R-3m, No. 166
Volume (Å³ per atom): 16.8
ρ (g cm⁻³): 8.278

```
Fe3NiIr
1.0
2.463 1.422 3.993
-2.463 1.422 3.993
0.000 -2.845 3.993
Fe Ni Ir
3 1 1
direct
0.000 0.500 0.500
0.500 0.000 0.500
0.500 0.500 0.000
0.000 0.000 0.000
0.500 0.500 0.500
```


x | DFT (PBE) results for Fe3NiIr after structural relaxation.

Calculated values
Space group: P2_1/c, No. 14
Volume (Å³ per atom): 12.6
ρ (g cm⁻³): 11.054

```
Fe3NiIr
1.0
6.470 0.000 0.000
0.000 5.019 0.000
-2.400 0.000 7.743
Fe Ni Ir
12 4 4
direct
0.113 0.162 0.401
0.113 0.338 0.901
0.291 0.009 0.699
0.291 0.491 0.199
0.314 0.510 0.709
0.314 0.990 0.209
0.686 0.010 0.791
0.686 0.490 0.291
0.709 0.509 0.801
0.709 0.991 0.301
0.887 0.662 0.099
0.887 0.838 0.599
0.497 0.248 0.000
0.497 0.252 0.500
0.503 0.748 0.500
0.503 0.752 0.000
0.098 0.669 0.410
0.098 0.831 0.910
0.902 0.169 0.090
0.902 0.331 0.590
```


Least stable of them? w.


w | DFT (PBE) results for Fe3NiIr after structural relaxation.

Calculated values
Space group: Pm-3m, No. 221
Volume (Å³ per atom): 19.6
ρ (g cm⁻³): 7.089

```
Fe3NiIr
1.0
4.611 0.000 0.000
0.000 4.611 0.000
0.000 0.000 4.611
Fe Ni Ir
3 1 1
direct
0.000 0.000 0.500
0.000 0.500 0.000
0.500 0.000 0.000
0.500 0.500 0.500
0.000 0.000 0.000
```


x | DFT (PBE) results for Fe3NiIr after structural relaxation.

Calculated values
Space group: Pm-3m, No. 221
Volume (Å³ per atom): 15.1
ρ (g cm⁻³): 9.176

```
Fe3NiIr
1.0
4.231 0.000 0.000
0.000 4.231 0.000
0.000 0.000 4.231
Fe Ni Ir
3 1 1
direct
0.000 0.000 0.500
0.000 0.500 0.000
0.500 0.000 0.000
0.000 0.000 0.000
0.500 0.500 0.500
```


Least stable of them? w.


w | DFT (PBE) results for Fe2Ni7Ir2 after structural relaxation.

Calculated values
Space group: C2/m, No. 12
Volume (Å³ per atom): 12.9
ρ (g cm⁻³): 10.618

```
Fe2Ni7Ir2
1.0
3.178 -4.499 0.000
3.178 4.499 0.000
-1.045 0.000 4.960
Fe Ni Ir
2 7 2
direct
0.131 0.869 0.000
0.869 0.131 0.000
0.000 0.000 0.500
0.078 0.588 0.306
0.327 0.327 0.349
0.412 0.922 0.694
0.588 0.078 0.306
0.673 0.673 0.651
0.922 0.412 0.694
0.326 0.326 0.848
0.674 0.674 0.152
```


x | DFT (PBE) results for Fe2Ni7Ir2 after structural relaxation.

Calculated values
Space group: C2/m, No. 12
Volume (Å³ per atom): 12.3
ρ (g cm⁻³): 11.146

```
Fe2Ni7Ir2
1.0
3.229 -3.870 0.000
3.229 3.870 0.000
-1.656 0.000 5.407
Fe Ni Ir
2 7 2
direct
0.220 0.780 0.000
0.780 0.220 0.000
0.048 0.594 0.330
0.093 0.093 0.337
0.406 0.952 0.670
0.500 0.500 0.500
0.594 0.048 0.330
0.907 0.907 0.663
0.952 0.406 0.670
0.303 0.303 0.023
0.697 0.697 0.977
```


Least stable of them? w.


w | DFT (PBE) results for FeNi6Ir after structural relaxation.

Calculated values
Space group: Cmmm, No. 65
Volume (Å³ per atom): 11.6
ρ (g cm⁻³): 10.767

```
FeNi6Ir
1.0
3.580 -5.083 0.000
3.580 5.083 0.000
0.000 0.000 10.173
Fe Ni Ir
4 24 4
direct
0.000 0.000 0.247
0.000 0.000 0.753
0.249 0.751 0.000
0.751 0.249 0.000
0.000 0.000 0.000
0.000 0.000 0.500
0.121 0.373 0.122
0.121 0.373 0.878
0.123 0.371 0.372
0.123 0.371 0.628
0.249 0.751 0.246
0.249 0.751 0.754
0.371 0.123 0.372
0.371 0.123 0.628
0.373 0.121 0.122
0.373 0.121 0.878
0.500 0.500 0.000
0.500 0.500 0.500
0.627 0.879 0.122
0.627 0.879 0.878
0.629 0.877 0.372
0.629 0.877 0.628
0.751 0.249 0.246
0.751 0.249 0.754
0.877 0.629 0.372
0.877 0.629 0.628
0.879 0.627 0.122
0.879 0.627 0.878
0.249 0.751 0.500
0.500 0.500 0.248
0.500 0.500 0.752
0.751 0.249 0.500
```


x | DFT (PBE) results for FeNi6Ir after structural relaxation.

Calculated values
Space group: P4/mmm, No. 123
Volume (Å³ per atom): 11.6
ρ (g cm⁻³): 10.722

```
FeNi6Ir
1.0
5.090 0.000 0.000
0.000 5.090 0.000
0.000 0.000 3.587
Fe Ni Ir
1 6 1
direct
0.000 0.000 0.000
0.000 0.500 0.000
0.246 0.246 0.500
0.246 0.754 0.500
0.500 0.000 0.000
0.754 0.246 0.500
0.754 0.754 0.500
0.500 0.500 0.000
```


y | DFT (PBE) results for FeNi6Ir after structural relaxation.

Calculated values
Space group: C2/m, No. 12
Volume (Å³ per atom): 13.0
ρ (g cm⁻³): 9.605

```
FeNi6Ir
1.0
3.556 -2.374 0.000
3.556 2.374 0.000
-1.895 0.000 6.147
Fe Ni Ir
1 6 1
direct
0.000 0.000 0.000
0.034 0.555 0.193
0.133 0.133 0.426
0.445 0.966 0.807
0.555 0.034 0.193
0.867 0.867 0.574
0.966 0.445 0.807
0.500 0.500 0.500
```


Least stable of them? y.


w | DFT (PBE) results for Fe2Ni2Ir after structural relaxation.

Calculated values
Space group: P4/mbm, No. 127
Volume (Å³ per atom): 11.7
ρ (g cm⁻³): 12.003

```
Fe2Ni2Ir
1.0
6.558 0.000 0.000
0.000 6.558 0.000
0.000 0.000 2.710
Fe Ni Ir
4 4 2
direct
0.117 0.383 0.000
0.383 0.883 0.000
0.617 0.117 0.000
0.883 0.617 0.000
0.178 0.678 0.500
0.322 0.178 0.500
0.678 0.822 0.500
0.822 0.322 0.500
0.000 0.000 0.000
0.500 0.500 0.000
```


x | DFT (PBE) results for Fe2Ni2Ir after structural relaxation.

Calculated values
Space group: C2/m, No. 12
Volume (Å³ per atom): 12.2
ρ (g cm⁻³): 11.512

```
Fe2Ni2Ir
1.0
4.021 -1.837 0.000
4.021 1.837 0.000
-3.949 0.000 4.112
Fe Ni Ir
2 2 1
direct
0.092 0.092 0.290
0.908 0.908 0.710
0.303 0.303 0.903
0.697 0.697 0.097
0.500 0.500 0.500
```


Least stable of them? w.


w | DFT (PBE) results for FeNiIr3 after structural relaxation.

Calculated values
Space group: R-3, No. 148
Volume (Å³ per atom): 14.2
ρ (g cm⁻³): 16.197

```
FeNiIr3
1.0
3.203 1.850 3.987
-3.203 1.850 3.987
0.000 -3.699 3.987
Fe Ni Ir
2 2 6
direct
0.083 0.083 0.083
0.917 0.917 0.917
0.400 0.400 0.400
0.600 0.600 0.600
0.023 0.745 0.521
0.255 0.479 0.977
0.479 0.977 0.255
0.521 0.023 0.745
0.745 0.521 0.023
0.977 0.255 0.479
```


x | DFT (PBE) results for FeNiIr3 after structural relaxation.

Calculated values
Space group: Pm-3m, No. 221
Volume (Å³ per atom): 17.1
ρ (g cm⁻³): 13.430

```
FeNiIr3
1.0
4.405 0.000 0.000
0.000 4.405 0.000
0.000 0.000 4.405
Fe Ni Ir
1 1 3
direct
0.000 0.000 0.000
0.500 0.500 0.500
0.000 0.000 0.500
0.000 0.500 0.000
0.500 0.000 0.000
```


y | DFT (PBE) results for FeNiIr3 after structural relaxation.

Calculated values
Space group: Pm-3m, No. 221
Volume (Å³ per atom): 16.9
ρ (g cm⁻³): 13.543

```
FeNiIr3
1.0
4.393 0.000 0.000
0.000 4.393 0.000
0.000 0.000 4.393
Fe Ni Ir
1 1 3
direct
0.000 0.000 0.000
0.500 0.500 0.500
0.000 0.500 0.500
0.500 0.000 0.500
0.500 0.500 0.000
```


Least stable of them? y.